The following is a PBE-GGA calculation of a relaxed Th4Bi2SbIr crystal, from Alexandria via LeMat-Bulk.

The structure belongs to space group P2/m (No. 10); the cell edges are 7.855, 4.340 and 7.913 Å and the angles 90.00°, 108.43° and 90.00°. Symmetry generates all atoms from Th at (0.210, 0.000, 0.207), Th at (0.239, 0.500, 0.770), Bi at (0.000, 0.000, 0.500), Bi at (0.500, 0.500, 0.500), Sb at (0.500, 0.000, 0.000) and Ir at (0.000, 0.500, 0.000).

Its formation energy from raw total energies is -0.7555 eV per atom.